## w
First-principles (PBE) data for Dy3Ag2Ir after structural relaxation, as listed in Alexandria via LeMat-Bulk.

a = 5.0095 Å, b = 5.0095 Å, c = 6.2026 Å
α = 90.00°, β = 90.00°, γ = 120.00°
Last column: nearest neighbours and their distance in Å.
Positions (direct):
Dy: 0.0000 0.0000 0.5000  6 Ag 3.03, 2 Ir 3.10
Dy: 0.6667 0.3333 0.8545  3 Ir 3.03, 5 Ag 3.09-3.16
Dy: 0.3333 0.6667 0.1455  3 Ir 3.03, 5 Ag 3.09-3.16
Ag: 0.6667 0.3333 0.3526  8 Dy 3.03-3.16
Ag: 0.3333 0.6667 0.6474  8 Dy 3.03-3.16
Ir: 0.0000 0.0000 0.0000  8 Dy 3.03-3.10

Results
Magnetization: 0.00 μB/f.u.



## x
First-principles (PBE) data for Dy3Ag2Ir after structural relaxation, as listed in Alexandria via LeMat-Bulk.

a = 5.7802 Å, b = 8.0690 Å, c = 7.5146 Å
α = 105.49°, β = 112.62°, γ = 90.00°
Last column: nearest neighbours and their distance in Å.
Positions (direct):
Dy: 0.5010 0.2500 0.0000  2 Ir 2.89, 4 Ag 3.15-3.16
Dy: 0.4990 0.7500 0.0000  2 Ir 2.89, 4 Ag 3.15-3.16
Dy: 0.1372 0.0693 0.2790  2 Ir 2.74, 2 Ag 2.95
Dy: 0.8582 0.4307 0.7210  2 Ir 2.74, 2 Ag 2.95
Dy: 0.1418 0.5693 0.2790  2 Ir 2.74, 2 Ag 2.95
Dy: 0.8628 0.9307 0.7210  2 Ir 2.74, 2 Ag 2.95
Ag: 0.6854 0.5917 0.3658  6 Dy 2.95-3.16
Ag: 0.6804 0.0917 0.3658  6 Dy 2.95-3.16
Ag: 0.3196 0.9083 0.6342  6 Dy 2.95-3.16
Ag: 0.3146 0.4083 0.6342  6 Dy 2.95-3.16
Ir: 0.9990 0.7500 0.0000  6 Dy 2.74-2.89
Ir: 0.0010 0.2500 0.0000  6 Dy 2.74-2.89

Results
Magnetization: 0.00 μB/f.u.



Result of the stability comparison: w is the most stable of them.



## w
First-principles (PBE) data for Dy8Ag2Ir after structural relaxation, as listed in Alexandria via LeMat-Bulk.

a = 5.1944 Å, b = 6.8166 Å, c = 9.1317 Å
α = 106.54°, β = 106.52°, γ = 90.00°
Last column: nearest neighbours and their distance in Å.
Positions (direct):
Dy: 0.4104 0.5674 0.8209  1 Ir 2.90
Dy: 0.6597 0.9722 0.3193  1 Ir 2.86, 1 Ag 2.92
Dy: 0.7989 0.6875 0.5978  1 Ag 2.88
Dy: 0.9726 0.2086 0.9453  1 Ag 2.91, 2 Ir 3.07, 1 Dy 3.26
Dy: 0.2011 0.3125 0.4022  1 Ag 2.88
Dy: 0.3403 0.0278 0.6807  1 Ir 2.86, 1 Ag 2.92
Dy: 0.5896 0.4326 0.1791  1 Ir 2.90
Dy: 0.0274 0.7914 0.0547  1 Ag 2.91, 2 Ir 3.07, 1 Dy 3.26
Ag: 0.8168 0.2805 0.6335  5 Dy 2.88-3.21
Ag: 0.1832 0.7195 0.3665  5 Dy 2.88-3.21
Ir: 0.5000 0.0000 0.0000  8 Dy 2.86-3.07

Results
Magnetization: 0.00 μB/f.u.



## x
First-principles (PBE) data for Dy8Ag2Ir after structural relaxation, as listed in Alexandria via LeMat-Bulk.

a = 6.0781 Å, b = 8.8138 Å, c = 8.8138 Å
α = 129.20°, β = 103.24°, γ = 103.24°
Last column: nearest neighbours and their distance in Å.
Positions (direct):
Dy: 0.6506 0.3869 0.1525  1 Ir 2.78, 2 Ag 2.95-3.12
Dy: 0.6506 0.1525 0.3869  1 Ir 2.78, 2 Ag 2.95-3.12
Dy: 0.1313 0.2779 0.2779  1 Ir 2.66
Dy: 0.9869 0.1988 0.8125  4 Ag 3.35-3.40, 7 Dy 3.50-3.74, 1 Ir 3.56
Dy: 0.9869 0.8125 0.1988  4 Ag 3.35-3.40, 7 Dy 3.50-3.74, 1 Ir 3.56
Dy: 0.7627 0.7267 0.7267  1 Ir 2.69
Dy: 0.2868 0.8426 0.6138  1 Ir 2.79, 1 Ag 3.02
Dy: 0.2868 0.6138 0.8426  1 Ir 2.79, 1 Ag 3.02
Ag: 0.4884 0.7265 0.2913  4 Dy 2.95-3.22
Ag: 0.4884 0.2913 0.7265  4 Dy 2.95-3.22
Ir: 0.2803 0.0044 0.0044  6 Dy 2.66-2.79

Results
Magnetization: 0.00 μB/f.u.



Result of the stability comparison: w is the most stable of them.



## w
First-principles (PBE) data for Dy4AgIr after structural relaxation, as listed in Alexandria via LeMat-Bulk.

a = 4.8919 Å, b = 4.8928 Å, c = 7.0332 Å
α = 89.95°, β = 89.97°, γ = 90.00°
Last column: nearest neighbours and their distance in Å.
Positions (direct):
Dy: 0.5011 0.9969 0.2655  2 Ir 2.94, 2 Ag 3.09, 1 Dy 3.27
Dy: 0.5015 0.9977 0.7307  2 Ir 2.94, 2 Ag 3.09, 1 Dy 3.27
Dy: 0.0015 0.4977 0.7307  2 Ir 2.94-2.95, 2 Ag 3.09, 1 Dy 3.27
Dy: 0.0011 0.4969 0.2656  2 Ir 2.94-2.95, 2 Ag 3.09, 1 Dy 3.27
Ag: 0.5013 0.4973 0.9982  8 Dy 3.09
Ir: 0.0013 0.9973 0.4981  8 Dy 2.94-2.95

Results
Magnetization: 0.00 μB/f.u.



## x
First-principles (PBE) data for Dy4AgIr after structural relaxation, as listed in Alexandria via LeMat-Bulk.

a = 9.5410 Å, b = 9.5410 Å, c = 9.5410 Å
α = 60.00°, β = 60.00°, γ = 60.00°
Last column: nearest neighbours and their distance in Å.
Positions (direct):
Dy: 0.3981 0.3981 0.3981  3 Ir 2.83
Dy: 0.8058 0.3981 0.3981  3 Ir 2.83
Dy: 0.3981 0.8058 0.3981  3 Ir 2.83
Dy: 0.3981 0.3981 0.8058  3 Ir 2.83
Dy: 0.5608 0.5608 0.9392  2 Ir 2.79
Dy: 0.9392 0.9392 0.5608  2 Ir 2.79
Dy: 0.5608 0.9392 0.5608  2 Ir 2.79
Dy: 0.9392 0.5608 0.9392  2 Ir 2.79
Dy: 0.9392 0.5608 0.5608  2 Ir 2.79
Dy: 0.5608 0.9392 0.9392  2 Ir 2.79
Dy: 0.1871 0.1871 0.8129  2 Ag 3.22, 10 Dy 3.45-3.57, 2 Ir 3.45
Dy: 0.8129 0.8129 0.1871  2 Ag 3.22, 10 Dy 3.45-3.57, 2 Ir 3.45
Dy: 0.1871 0.8129 0.1871  2 Ag 3.22, 10 Dy 3.45-3.57, 2 Ir 3.45
Dy: 0.8129 0.1871 0.8129  2 Ag 3.22, 10 Dy 3.45-3.57, 2 Ir 3.45
Dy: 0.8129 0.1871 0.1871  2 Ag 3.22, 10 Dy 3.45-3.57, 2 Ir 3.45
Dy: 0.1871 0.8129 0.8129  2 Ag 3.22, 10 Dy 3.45-3.57, 2 Ir 3.45
Ag: 0.1681 0.1681 0.1681  3 Ag 3.13, 9 Dy 3.22-3.46
Ag: 0.4957 0.1681 0.1681  3 Ag 3.13, 9 Dy 3.22-3.46
Ag: 0.1681 0.4957 0.1681  3 Ag 3.13, 9 Dy 3.22-3.46
Ag: 0.1681 0.1681 0.4957  3 Ag 3.13, 9 Dy 3.22-3.46
Ir: 0.6075 0.6075 0.6075  6 Dy 2.79-2.83
Ir: 0.1775 0.6075 0.6075  6 Dy 2.79-2.83
Ir: 0.6075 0.1775 0.6075  6 Dy 2.79-2.83
Ir: 0.6075 0.6075 0.1775  6 Dy 2.79-2.83

Results
Magnetization: 0.00 μB/f.u.



Result of the stability comparison: x is the most stable of them.



## w
First-principles (PBE) data for DyAgIr after structural relaxation, as listed in Alexandria via LeMat-Bulk.

a = 5.2951 Å, b = 7.2006 Å, c = 7.2007 Å
α = 80.84°, β = 71.16°, γ = 71.16°
Last column: nearest neighbours and their distance in Å.
Positions (direct):
Ag: 0.3994 0.6960 0.9460  2 Ag 2.76, 4 Ir 2.87-2.96, 1 Dy 3.01
Ag: 0.6006 0.8039 0.5539  2 Ag 2.76, 4 Ir 2.87-2.96, 1 Dy 3.01
Ag: 0.6006 0.3040 0.0540  2 Ag 2.76, 4 Ir 2.87-2.96, 1 Dy 3.01
Ag: 0.3994 0.1961 0.4461  2 Ag 2.76, 4 Ir 2.87-2.96, 1 Dy 3.01
Dy: 0.0380 0.4945 0.7445  4 Ir 2.79-2.97, 1 Ag 3.01
Dy: 0.0380 0.9945 0.2445  4 Ir 2.79-2.97, 1 Ag 3.01
Dy: 0.9620 0.5055 0.2555  4 Ir 2.79-2.97, 1 Ag 3.01
Dy: 0.9620 0.0055 0.7555  4 Ir 2.79-2.97, 1 Ag 3.01
Ir: 0.6183 0.3985 0.6485  4 Dy 2.79-2.97, 2 Ir 2.80, 4 Ag 2.87-2.96
Ir: 0.6183 0.8985 0.1485  4 Dy 2.79-2.97, 2 Ir 2.80, 4 Ag 2.87-2.96
Ir: 0.3817 0.6015 0.3515  4 Dy 2.79-2.97, 2 Ir 2.80, 4 Ag 2.87-2.96
Ir: 0.3817 0.1015 0.8515  4 Dy 2.79-2.97, 2 Ir 2.80, 4 Ag 2.87-2.96

Results
Magnetization: 0.00 μB/f.u.



## x
First-principles (PBE) data for DyAgIr after structural relaxation, as listed in Alexandria via LeMat-Bulk.

a = 3.5695 Å, b = 3.5695 Å, c = 5.3029 Å
α = 109.67°, β = 109.67°, γ = 90.00°
Last column: nearest neighbours and their distance in Å.
Positions (direct):
Ir: 0.6139 0.6139 0.2279  5 Dy 2.90-3.23, 5 Ag 2.94-3.16
Ag: 0.2756 0.2756 0.5512  5 Dy 2.94-3.06, 5 Ir 2.94-3.16
Dy: 0.9605 0.9605 0.9209  5 Ir 2.90-3.23, 5 Ag 2.94-3.06

Results
Magnetization: 0.00 μB/f.u.



Result of the stability comparison: w is the most stable of them.



## w
First-principles (PBE) data for LaDyAg after structural relaxation, as listed in Alexandria via LeMat-Bulk.

a = 3.7232 Å, b = 5.5351 Å, c = 8.7114 Å
α = 89.94°, β = 102.34°, γ = 90.00°
Last column: nearest neighbours and their distance in Å.
Positions (direct):
La: 0.5794 0.2517 0.1588  6 Ag 3.33-3.38, 2 La 3.72
La: 0.4206 0.7483 0.8412  6 Ag 3.33-3.38, 2 La 3.72
Dy: 0.7276 0.7503 0.4552  2 Ag 3.04
Dy: 0.2724 0.2497 0.5448  2 Ag 3.04
Ag: 0.9134 0.2477 0.8268  2 Dy 3.04, 6 La 3.33-3.38
Ag: 0.0866 0.7523 0.1732  2 Dy 3.04, 6 La 3.33-3.38

Results
Magnetization: 0.00 μB/f.u.



## x
First-principles (PBE) data for LaDyAg after structural relaxation, as listed in Alexandria via LeMat-Bulk.

a = 3.6943 Å, b = 3.6943 Å, c = 6.9233 Å
α = 105.47°, β = 105.47°, γ = 90.00°
Last column: nearest neighbours and their distance in Å.
Positions (direct):
La: 0.0126 0.0126 0.0252  4 Ag 3.37, 4 La 3.69, 4 Dy 3.70
Ag: 0.6793 0.6793 0.3585  4 Dy 3.09, 4 La 3.37
Dy: 0.3081 0.3081 0.6162  4 Ag 3.09

Results
Magnetization: 0.43 μB/f.u.



Result of the stability comparison: w is the most stable of them.



## w
First-principles (PBE) data for LaDyAg after structural relaxation, as listed in Alexandria via LeMat-Bulk.

a = 3.9191 Å, b = 5.0986 Å, c = 5.0986 Å
α = 120.00°, β = 90.00°, γ = 90.00°
Last column: nearest neighbours and their distance in Å.
Positions (direct):
La: 0.6528 0.6667 0.3333  6 Ag 3.40-3.68, 6 Dy 3.49-3.59
Ag: 0.2182 0.3333 0.6667  3 Dy 2.96
Dy: 0.1290 0.0000 0.0000  3 Ag 2.96

Results
Magnetization: 0.00 μB/f.u.



## x
First-principles (PBE) data for LaDyAg after structural relaxation, as listed in Alexandria via LeMat-Bulk.

a = 5.1574 Å, b = 9.2564 Å, c = 7.3794 Å
α = 90.00°, β = 90.00°, γ = 90.00°
Last column: nearest neighbours and their distance in Å.
Positions (direct):
La: 0.2500 0.8194 0.4852  3 Ag 3.15-3.32
La: 0.7500 0.3194 0.0148  3 Ag 3.15-3.32
La: 0.2500 0.6806 0.9852  3 Ag 3.15-3.32
La: 0.7500 0.1806 0.5148  3 Ag 3.15-3.32
Dy: 0.7500 0.9213 0.1459  4 Ag 2.92-3.17
Dy: 0.7500 0.5787 0.6459  4 Ag 2.92-3.17
Dy: 0.2500 0.0787 0.8541  4 Ag 2.92-3.17
Dy: 0.2500 0.4213 0.3541  4 Ag 2.92-3.17
Ag: 0.7500 0.6027 0.2518  4 Dy 2.92-3.17, 1 La 3.15
Ag: 0.7500 0.8973 0.7518  4 Dy 2.92-3.17, 1 La 3.15
Ag: 0.2500 0.1027 0.2482  4 Dy 2.92-3.17, 1 La 3.15
Ag: 0.2500 0.3973 0.7482  4 Dy 2.92-3.17, 1 La 3.15

Results
Magnetization: 0.00 μB/f.u.



Result of the stability comparison: x is the most stable of them.